[1]
Here is Ti2CuPd5 after structural relaxation from Alexandria. Energies are from PBE-GGA.

The structure in CIF format:
```
data_Ti2CuPd5
_chemical_formula_sum 'Ti4 Cu2 Pd10'
_cell_length_a 5.597
_cell_length_b 5.597
_cell_length_c 7.622
_cell_angle_alpha 90.00
_cell_angle_beta 90.00
_cell_angle_gamma 90.00
_symmetry_space_group_name_H-M 'I 4/m m m'
_symmetry_Int_Tables_number 139
_symmetry_space_group_name_Hall '-I 4 2'
loop_
_atom_site_label
_atom_site_type_symbol
_atom_site_fract_x
_atom_site_fract_y
_atom_site_fract_z
Ti1 Ti 0.000 0.500 0.000
Cu1 Cu 0.000 0.000 0.000
Pd1 Pd 0.000 0.000 0.500
Pd2 Pd 0.250 0.250 0.250
```

Mass density, g cm⁻³: 9.61
V, Å³ per atom: 14.9
Energy, eV per atom: -6.238
Crystal system: tetragonal
Magnetization, μB per cell: 2.3
ΔH_f (0 K), meV/atom: -506

---

[2]
Here is TiCuPd14 after structural relaxation from Alexandria. Energies are from PBE-GGA.

The structure in CIF format:
```
data_TiCuPd14
_chemical_formula_sum 'Ti1 Cu1 Pd14'
_cell_length_a 5.592
_cell_length_b 5.592
_cell_length_c 7.792
_cell_angle_alpha 90.00
_cell_angle_beta 90.00
_cell_angle_gamma 90.00
_symmetry_space_group_name_H-M 'P 4/m m m'
_symmetry_Int_Tables_number 123
_symmetry_space_group_name_Hall '-P 4 2'
loop_
_atom_site_label
_atom_site_type_symbol
_atom_site_fract_x
_atom_site_fract_y
_atom_site_fract_z
Ti1 Ti 0.000 0.000 0.000
Cu1 Cu 0.500 0.500 0.000
Pd1 Pd 0.000 0.000 0.500
Pd2 Pd 0.000 0.500 0.000
Pd3 Pd 0.000 0.500 0.500
Pd4 Pd 0.248 0.248 0.242
Pd5 Pd 0.500 0.500 0.500
```

Mass density, g cm⁻³: 10.91
V, Å³ per atom: 15.2
Energy, eV per atom: -5.475
Crystal system: tetragonal
Magnetization, μB per cell: 0.0
ΔH_f (0 K), meV/atom: -182